No. 1
DFT (PBE) results for a geometry-optimized EuPuO2 structure.

Uncorrected formation energy in meV/atom: -2599
V in Å³ per cell: 63.5
Crystal system: trigonal

a b c (Å): 6.1611 6.1611 6.1611
angles (deg): 33.52 33.52 33.52
Element x y z (fractional)
Eu: 0.0000 0.0000 0.0000
Pu: 0.5000 0.5000 0.5000
O: 0.2446 0.2446 0.2446
O: 0.7554 0.7554 0.7554

=====

No. 2
DFT (PBE) results for a geometry-optimized EuPuO2 structure.

Uncorrected formation energy in meV/atom: -2075
V in Å³ per cell: 58.4
Crystal system: tetragonal

a b c (Å): 3.0590 3.0590 6.2396
angles (deg): 90.00 90.00 90.00
Element x y z (fractional)
Eu: 0.0000 0.0000 0.0000
Pu: 0.0000 0.0000 0.5000
O: 0.5000 0.5000 0.2566
O: 0.5000 0.5000 0.7434

=====

No. 3
DFT (PBE) results for a geometry-optimized RbEuS2O8 structure.

Uncorrected formation energy in meV/atom: -1917
V in Å³ per cell: 363.2
Crystal system: monoclinic

a b c (Å): 7.4654 7.4654 9.7328
angles (deg): 101.57 101.57 43.29
Element x y z (fractional)
Rb: 0.0000 0.5000 0.0000
Rb: 0.5000 0.0000 0.5000
Eu: 0.1788 0.8212 0.7500
Eu: 0.8212 0.1788 0.2500
S: 0.1757 0.6507 0.3875
S: 0.3493 0.8243 0.1125
S: 0.6507 0.1757 0.8875
S: 0.8243 0.3493 0.6125
O: 0.0772 0.2111 0.7012
O: 0.1599 0.6090 0.5266
O: 0.1750 0.7862 0.0927
O: 0.2111 0.0772 0.2012
O: 0.2138 0.8250 0.4073
O: 0.3913 0.3966 0.8174
O: 0.3910 0.8401 0.9734
O: 0.3966 0.3913 0.3174
O: 0.6034 0.6087 0.6826
O: 0.6090 0.1599 0.0266
O: 0.6087 0.6034 0.1826
O: 0.7862 0.1750 0.5927
O: 0.7889 0.9228 0.7988
O: 0.8250 0.2138 0.9073
O: 0.8401 0.3910 0.4734
O: 0.9228 0.7889 0.2988